Record 1
Below is a geometry-optimized Cd4CuPt3 structure, with properties calculated at the GGA-PBE level.

abc: 5.9132 5.9048 8.4884
angles: 90.00 110.26 90.00
Fractional coordinates of all 16 atoms:
Cd: 0.1253 0.2498 0.2509
Cd: 0.1253 0.7502 0.2509
Cd: 0.3747 0.2502 0.7491
Cd: 0.3747 0.7498 0.7491
Cd: 0.6253 0.2502 0.2509
Cd: 0.6253 0.7498 0.2509
Cd: 0.8747 0.2498 0.7491
Cd: 0.8747 0.7502 0.7491
Cu: 0.0000 0.0000 0.5000
Cu: 0.5000 0.5000 0.5000
Pt: 0.0000 0.5000 0.5000
Pt: 0.2502 0.0000 0.9999
Pt: 0.2498 0.5000 0.0001
Pt: 0.5000 0.0000 0.5000
Pt: 0.7498 0.0000 0.0001
Pt: 0.7502 0.5000 0.9999

Results
Fermi-level density of states = 0.347 states/eV/atom
Magnetization = 0.00 μB per formula unit
Mass density = 13.12 g/cm3
Formation energy from the elements = -0.232 eV/atom

=====

Record 2
Below is a geometry-optimized Cd4CuPt15 structure, with properties calculated at the GGA-PBE level.

abc: 4.0130 4.0130 20.1444
angles: 90.00 90.00 90.00
Fractional coordinates of all 20 atoms:
Cd: 0.0000 0.0000 0.1017
Cd: 0.0000 0.0000 0.3051
Cd: 0.0000 0.0000 0.6949
Cd: 0.0000 0.0000 0.8983
Cu: 0.0000 0.0000 0.5000
Pt: 0.0000 0.5000 0.0000
Pt: 0.0000 0.5000 0.2035
Pt: 0.0000 0.5000 0.4071
Pt: 0.0000 0.5000 0.5929
Pt: 0.0000 0.5000 0.7965
Pt: 0.5000 0.0000 0.0000
Pt: 0.5000 0.0000 0.2035
Pt: 0.5000 0.0000 0.4071
Pt: 0.5000 0.0000 0.5929
Pt: 0.5000 0.0000 0.7965
Pt: 0.5000 0.5000 0.1019
Pt: 0.5000 0.5000 0.3055
Pt: 0.5000 0.5000 0.5000
Pt: 0.5000 0.5000 0.6945
Pt: 0.5000 0.5000 0.8981

Results
Fermi-level density of states = 1.010 states/eV/atom
Magnetization = 0.00 μB per formula unit
Mass density = 17.61 g/cm3
Formation energy from the elements = -0.170 eV/atom

=====

Record 3
Below is a geometry-optimized CdCu4Pt structure, with properties calculated at the GGA-PBE level.

abc: 2.7585 7.2080 8.6350
angles: 90.00 90.00 90.00
Fractional coordinates of all 12 atoms:
Cd: 0.2500 0.2500 0.1615
Cd: 0.7500 0.7500 0.8385
Cu: 0.2500 0.0744 0.8833
Cu: 0.2500 0.4256 0.8833
Cu: 0.2500 0.5679 0.6077
Cu: 0.2500 0.9321 0.6077
Cu: 0.7500 0.0679 0.3923
Cu: 0.7500 0.4321 0.3923
Cu: 0.7500 0.5744 0.1167
Cu: 0.7500 0.9256 0.1167
Pt: 0.2500 0.7500 0.3406
Pt: 0.7500 0.2500 0.6594

Results
Fermi-level density of states = 0.347 states/eV/atom
Magnetization = 0.00 μB per formula unit
Mass density = 10.86 g/cm3
Formation energy from the elements = 0.012 eV/atom
Polymorph energy (0 for the lowest one) = 66 meV/atom

=====

Record 4
Below is a geometry-optimized CdCu2Pt8 structure, with properties calculated at the GGA-PBE level.

abc: 7.4048 7.4048 6.2740
angles: 104.93 104.93 30.80
Fractional coordinates of all 11 atoms:
Cd: 0.0000 0.0000 0.0000
Cu: 0.2720 0.2720 0.3638
Cu: 0.7280 0.7280 0.6362
Pt: 0.0974 0.0974 0.4577
Pt: 0.1841 0.1841 0.9123
Pt: 0.3581 0.3581 0.8036
Pt: 0.4504 0.4504 0.2799
Pt: 0.5496 0.5496 0.7201
Pt: 0.6419 0.6419 0.1964
Pt: 0.8159 0.8159 0.0877
Pt: 0.9026 0.9026 0.5423

Results
Fermi-level density of states = 1.066 states/eV/atom
Magnetization = 0.00 μB per formula unit
Mass density = 17.61 g/cm3
Formation energy from the elements = -0.123 eV/atom

=====

Record 5
Below is a geometry-optimized CdCuPt5 structure, with properties calculated at the GGA-PBE level.

abc: 5.1627 8.6508 7.6545
angles: 90.00 90.00 90.00
Fractional coordinates of all 14 atoms:
Cd: 0.0000 0.0000 0.0000
Cd: 0.5000 0.5000 0.5000
Cu: 0.0000 0.5000 0.1282
Cu: 0.5000 0.0000 0.6282
Pt: 0.0000 0.0000 0.6153
Pt: 0.0000 0.2472 0.7713
Pt: 0.0000 0.7528 0.7713
Pt: 0.2480 0.5000 0.8233
Pt: 0.2520 0.0000 0.3233
Pt: 0.5000 0.2528 0.2713
Pt: 0.5000 0.5000 0.1153
Pt: 0.5000 0.7472 0.2713
Pt: 0.7480 0.0000 0.3233
Pt: 0.7520 0.5000 0.8233

Results
Fermi-level density of states = 0.641 states/eV/atom
Magnetization = 0.00 μB per formula unit
Mass density = 11.19 g/cm3
Formation energy from the elements = 0.516 eV/atom

=====

Record 6
Below is a geometry-optimized CdCu3Pt structure, with properties calculated at the GGA-PBE level.

abc: 4.7171 4.7171 4.7171
angles: 90.00 90.00 90.00
Fractional coordinates of all 5 atoms:
Cd: 0.0000 0.0000 0.0000
Cu: 0.0000 0.5000 0.5000
Cu: 0.5000 0.0000 0.5000
Cu: 0.5000 0.5000 0.0000
Pt: 0.5000 0.5000 0.5000

Results
Fermi-level density of states = 0.508 states/eV/atom
Magnetization = 0.00 μB per formula unit
Mass density = 7.88 g/cm3
Formation energy from the elements = 0.652 eV/atom
Polymorph energy (0 for the lowest one) = 0 meV/atom

=====

Listing calculated total energy for the structures above in their given order: -3.47; -5.09; -3.88; -5.34; -4.51; -3.20 eV/atom.